[1]
BeAlB | PBE-GGA | relaxed

Structure (CIF):
```
data_BeAlB
_chemical_formula_sum 'Be4 Al4 B4'
_cell_length_a 9.545
_cell_length_b 2.964
_cell_length_c 4.937
_cell_angle_alpha 90.00
_cell_angle_beta 113.23
_cell_angle_gamma 90.00
_space_group_name_H-M_alt 'C 1 m 1'
_space_group_IT_number 8
loop_
_space_group_symop_operation_xyz
'x,y,z'
'x,-y,z'
'x+1/2,y+1/2,z'
'x+1/2,-y+1/2,z'
loop_
_atom_site_label
_atom_site_fract_x
_atom_site_fract_y
_atom_site_fract_z
Be1 0.000 0.000 0.000
Be2 0.167 0.500 0.300
Al1 0.188 0.000 0.785
Al2 0.401 0.000 0.552
B1 0.340 0.500 0.153
B2 0.434 0.000 0.144
```

Summary:
Raw total energy = -4.55 eV/atom

=====

[2]
BeAlB2 | PBE-GGA | relaxed

Structure (CIF):
```
data_BeAlB2
_chemical_formula_sum 'Be2 Al2 B4'
_cell_length_a 5.207
_cell_length_b 2.995
_cell_length_c 5.336
_cell_angle_alpha 90.00
_cell_angle_beta 107.69
_cell_angle_gamma 90.00
_space_group_name_H-M_alt 'C 1 m 1'
_space_group_IT_number 8
loop_
_space_group_symop_operation_xyz
'x,y,z'
'x,-y,z'
'x+1/2,y+1/2,z'
'x+1/2,-y+1/2,z'
loop_
_atom_site_label
_atom_site_fract_x
_atom_site_fract_y
_atom_site_fract_z
Be1 0.000 0.000 0.000
Al1 0.049 0.500 0.625
B1 0.224 0.500 0.183
B2 0.395 0.000 0.197
```

Summary:
Raw total energy = -5.17 eV/atom
Energy above the most stable polymorph in this dataset = 29 meV per atom

=====

[3]
BeAl2B | PBE-GGA | relaxed

Structure (CIF):
```
data_BeAl2B
_chemical_formula_sum 'Be4 Al8 B4'
_cell_length_a 3.5732
_cell_length_b 3.5732
_cell_length_c 17.6411
_cell_angle_alpha 90.00
_cell_angle_beta 90.00
_cell_angle_gamma 120.00
_space_group_name_H-M_alt 'P 3 m 1'
_space_group_IT_number 156
loop_
_space_group_symop_operation_xyz
'x,y,z'
'-y,x-y,z'
'-x+y,-x,z'
'-y,-x,z'
'-x+y,y,z'
'x,x-y,z'
loop_
_atom_site_label
_atom_site_fract_x
_atom_site_fract_y
_atom_site_fract_z
Be1 0.0000 0.0000 0.0000
Be2 0.0000 0.0000 0.1104
Be3 0.3333 0.6667 0.0574
Be4 0.6667 0.3333 0.0469
Al1 0.0000 0.0000 0.3023
Al2 0.0000 0.0000 0.6041
Al3 0.0000 0.0000 0.8132
Al4 0.3333 0.6667 0.2014
Al5 0.3333 0.6667 0.5071
Al6 0.3333 0.6667 0.9130
Al7 0.6667 0.3333 0.4061
Al8 0.6667 0.3333 0.7040
B1 0.0000 0.0000 0.4613
B2 0.3333 0.6667 0.6374
B3 0.6667 0.3333 0.2792
B4 0.6667 0.3333 0.8304
```

Summary:
Raw total energy = -4.35 eV/atom
Energy above the most stable polymorph in this dataset = 26 meV per atom